[1]
A plane-wave DFT calculation with PBE-GGA was carried out for a relaxed structure of Re3C.

Values from the calculation:
- crystal system = hexagonal
- spin magnetization (μB/cell) = 0.00
- electronic total energy (eV/cell) = -46.6
- V (Å³/atom) = 12.5

Structure (CIF):
```
data_Re3C
_cell_length_a 2.843
_cell_length_b 2.843
_cell_length_c 7.155
_cell_angle_alpha 90.00
_cell_angle_beta 90.00
_cell_angle_gamma 120.00
_symmetry_space_group_name_H-M 'P 1'
_symmetry_Int_Tables_number 1
_symmetry_space_group_name_Hall 'P 1'
loop_
_atom_site_label
_atom_site_fract_x
_atom_site_fract_y
_atom_site_fract_z
_atom_site_occupancy
Re1 0.000 0.000 0.000 1
Re2 0.667 0.333 0.304 1
Re3 0.667 0.333 0.696 1
C1 0.000 0.000 0.500 1
```

[2]
A plane-wave DFT calculation with PBE-GGA was carried out for a relaxed structure of Na2IrCl6.

Values from the calculation:
- crystal system = monoclinic
- spin magnetization (μB/cell) = 2.00
- electronic total energy (eV/cell) = -64.0
- V (Å³/atom) = 23.3

Structure (CIF):
```
data_Na2IrCl6
_cell_length_a 6.563
_cell_length_b 6.840
_cell_length_c 11.354
_cell_angle_alpha 90.00
_cell_angle_beta 124.51
_cell_angle_gamma 90.00
_symmetry_space_group_name_H-M 'P 1'
_symmetry_Int_Tables_number 1
_symmetry_space_group_name_Hall 'P 1'
loop_
_atom_site_label
_atom_site_fract_x
_atom_site_fract_y
_atom_site_fract_z
_atom_site_occupancy
Na1 0.221 0.085 0.245 1
Na2 0.221 0.415 0.745 1
Na3 0.779 0.585 0.255 1
Na4 0.779 0.915 0.755 1
Ir1 0.500 0.000 0.000 1
Ir2 0.500 0.500 0.500 1
Cl1 0.154 0.184 0.945 1
Cl2 0.154 0.316 0.445 1
Cl3 0.275 0.711 0.951 1
Cl4 0.275 0.789 0.451 1
Cl5 0.367 0.018 0.761 1
Cl6 0.367 0.482 0.261 1
Cl7 0.633 0.518 0.739 1
Cl8 0.633 0.982 0.239 1
Cl9 0.725 0.211 0.549 1
Cl10 0.725 0.289 0.049 1
Cl11 0.846 0.684 0.555 1
Cl12 0.846 0.816 0.055 1
```

[3]
A plane-wave DFT calculation with PBE-GGA was carried out for a relaxed structure of Nb3InB4.

Values from the calculation:
- crystal system = orthorhombic
- spin magnetization (μB/cell) = 0.00
- electronic total energy (eV/cell) = -64.0
- V (Å³/atom) = 12.2

Structure (CIF):
```
data_Nb3InB4
_cell_length_a 3.069
_cell_length_b 3.223
_cell_length_c 9.836
_cell_angle_alpha 90.00
_cell_angle_beta 90.00
_cell_angle_gamma 90.00
_symmetry_space_group_name_H-M 'P 1'
_symmetry_Int_Tables_number 1
_symmetry_space_group_name_Hall 'P 1'
loop_
_atom_site_label
_atom_site_fract_x
_atom_site_fract_y
_atom_site_fract_z
_atom_site_occupancy
Nb1 0.000 0.000 0.000 1
Nb2 0.500 0.000 0.275 1
Nb3 0.500 0.000 0.725 1
In1 0.000 0.500 0.500 1
B1 0.000 0.500 0.185 1
B2 0.000 0.500 0.815 1
B3 0.500 0.500 0.097 1
B4 0.500 0.500 0.903 1
```